[1]
VASP calculation (GGA-PBE) on crystalline Cs4Hg2H at its relaxed geometry.

Geometry as POSCAR:
```
Cs4Hg2H
1.0
1.0033 3.9570 2.7706
-2.8413 -1.7697 7.9491
7.6200 -2.2361 4.8269
Cs Hg H
4 2 1
Direct
0.0764 0.1992 0.6481
0.9236 0.8008 0.3519
0.3441 0.2372 0.0746
0.6559 0.7628 0.9254
0.3953 0.5550 0.6544
0.6047 0.4450 0.3456
0.0000 0.0000 0.0000
```

Values from the calculation:
DOS at the Fermi energy: 0.48 states/eV per atom
E_tot: -8.46 eV/cell

[2]
VASP calculation (GGA-PBE) on crystalline Li3Ac3GaO8 at its relaxed geometry.

Geometry as POSCAR:
```
Li3Ac3GaO8
1.0
-5.5804 4.4771 -1.5005
3.0490 -3.9536 -5.3321
-3.2377 -2.3861 4.9266
Li Ac Ga O
3 3 1 8
Direct
0.0000 0.0000 0.0000
0.0000 0.5000 0.0000
0.5000 0.5000 0.0000
0.5000 0.0000 0.5000
0.5000 0.5000 0.5000
0.0000 0.5000 0.5000
0.0000 0.0000 0.5000
0.2531 0.5063 0.2601
0.7469 0.4937 0.7399
0.7797 0.5596 0.2597
0.2203 0.4404 0.7403
0.7792 0.9794 0.2591
0.2208 0.0206 0.7409
0.2002 0.9794 0.2591
0.7998 0.0206 0.7409
```

Values from the calculation:
DOS at the Fermi energy: 0.89 states/eV per atom
raw formation energy: -2.236 eV per atom